## ErTm3S6 (GGA-PBE)

Data for a geometry-optimized ErTm3S6 structure.

Computed properties:
Total magnetization ... 0.00 μB per formula unit
Total energy ... -63.2 eV per formula unit
Raw formation energy ... -2.051 eV per atom

abc: 7.9344 7.9344 7.9344
angles: 91.03 91.03 91.03
Fractional positions:
1 S 0.0914 0.9173 0.6835
2 Er 0.0000 0.0000 0.0000
3 S 0.1798 0.5359 0.4046
4 Tm 0.7530 0.4324 0.9229
5 S 0.4641 0.5954 0.8202
6 S 0.0827 0.3165 0.9086
7 S 0.3165 0.9086 0.0827
8 Tm 0.5676 0.0771 0.2470
9 Tm 0.2470 0.5676 0.0771
10 Tm 0.0771 0.2470 0.5676
11 S 0.4046 0.1798 0.5359
12 Er 0.5000 0.5000 0.5000
13 S 0.5359 0.4046 0.1798
14 S 0.6835 0.0914 0.9173
15 S 0.8202 0.4641 0.5954
16 Tm 0.9229 0.7530 0.4324
17 S 0.9086 0.0827 0.3165
18 Tm 0.4324 0.9229 0.7530
19 S 0.9173 0.6835 0.0914
20 S 0.5954 0.8202 0.4641